Below is a geometry-optimized Co2Ge2Au structure, with properties calculated at the GGA-PBE level.

Output
Its density of states at the Fermi level is 0.555 states/eV/atom. As for the total energy: -54.0 eV for the cell shown. As for the density: 11.2 g/cm³. As for the crystal system: tetragonal. The calculated formation energy comes out at -0.055 eV per atom.

a b c (Å): 6.988 6.988 2.798
angles (deg): 90.00 90.00 90.00
Element x y z (fractional)
Co 0.361 0.861 0.000
Co 0.861 0.639 0.000
Co 0.639 0.139 0.000
Co 0.139 0.361 0.000
Ge 0.157 0.657 0.500
Ge 0.657 0.843 0.500
Ge 0.843 0.343 0.500
Ge 0.343 0.157 0.500
Au 0.000 0.000 0.000
Au 0.500 0.500 0.000



Below is a geometry-optimized CoGeAu2 structure, with properties calculated at the GGA-PBE level.

Output
Its density of states at the Fermi level is 1.009 states/eV/atom. As for the total energy: -16.5 eV for the cell shown. As for the density: 12.4 g/cm³. As for the crystal system: trigonal. The calculated formation energy comes out at 0.436 eV per atom.

a b c (Å): 2.813 2.813 10.422
angles (deg): 82.24 82.24 60.00
Site moments in Bohr magnetons follow the coordinates.
Element x y z (fractional)
Co 0.000 0.000 0.000  1.94
Ge 0.500 0.500 0.500  0.00
Au 0.083 0.083 0.750  0.01
Au 0.917 0.917 0.250  0.01